Entry 1:
Ce3DyHo3S8 | PBE | optimized geometry

## Properties
The space group is No. 166.

Unit cell a=7.9563 b=7.9563 c=7.9563 alpha=59.17 beta=59.17 gamma=59.17
Closest atoms and distances in Å follow each position.
Sites, in units of the cell vectors:
Ce: 0.0000 0.5000 0.5000  6 S 2.85
Ce: 0.5000 0.0000 0.5000  6 S 2.85
Ce: 0.5000 0.5000 0.0000  6 S 2.85
Dy: 0.5000 0.5000 0.5000  6 S 2.77
Ho: 0.0000 0.0000 0.5000  6 S 2.74
Ho: 0.0000 0.5000 0.0000  6 S 2.74
Ho: 0.5000 0.0000 0.0000  6 S 2.74
S: 0.2432 0.7478 0.7478  2 Ho 2.74, 1 Dy 2.77, 2 Ce 2.85
S: 0.2454 0.2454 0.2454  3 Ho 2.74, 3 Ce 2.85
S: 0.2522 0.2522 0.7568  2 Ho 2.74, 1 Dy 2.77, 2 Ce 2.85
S: 0.2522 0.7568 0.2522  2 Ho 2.74, 1 Dy 2.77, 2 Ce 2.85
S: 0.7478 0.2432 0.7478  2 Ho 2.74, 1 Dy 2.77, 2 Ce 2.85
S: 0.7478 0.7478 0.2432  2 Ho 2.74, 1 Dy 2.77, 2 Ce 2.85
S: 0.7546 0.7546 0.7546  3 Ho 2.74, 3 Ce 2.85
S: 0.7568 0.2522 0.2522  2 Ho 2.74, 1 Dy 2.77, 2 Ce 2.85

Entry 2:
CeDy2HoS6 | PBE | optimized geometry

## Properties
The space group is No. 146.

Unit cell a=7.3860 b=7.3860 c=7.3860 alpha=56.40 beta=56.40 gamma=56.40
Closest atoms and distances in Å follow each position.
Sites, in units of the cell vectors:
Ce: 0.0000 0.0000 0.0000  6 S 2.81-2.90
Dy: 0.2038 0.2038 0.2038  6 S 2.71-2.79
Dy: 0.7073 0.7073 0.7073  6 S 2.72-2.78
Ho: 0.5053 0.5053 0.5053  6 S 2.72-2.77
S: 0.1058 0.4110 0.8028  2 Dy 2.72-2.79, 1 Ho 2.72, 1 Ce 2.90
S: 0.3219 0.9083 0.5872  2 Dy 2.71-2.78, 1 Ho 2.77, 1 Ce 2.81
S: 0.4110 0.8028 0.1058  2 Dy 2.72-2.79, 1 Ho 2.72, 1 Ce 2.90
S: 0.5872 0.3219 0.9083  2 Dy 2.71-2.78, 1 Ho 2.77, 1 Ce 2.81
S: 0.8028 0.1058 0.4110  2 Dy 2.72-2.79, 1 Ho 2.72, 1 Ce 2.90
S: 0.9083 0.5872 0.3219  2 Dy 2.71-2.78, 1 Ho 2.77, 1 Ce 2.81

Entry 3:
CeDy2Ho3S6 | PBE | optimized geometry

## Properties
The space group is No. 12.

Unit cell a=8.7519 b=8.7519 c=7.8635 alpha=103.03 beta=103.03 gamma=25.75
Closest atoms and distances in Å follow each position.
Sites, in units of the cell vectors:
Ce: 0.0000 0.0000 0.0000  6 S 2.82-2.84
Dy: 0.3350 0.3350 0.6706  6 S 2.74-2.79
Dy: 0.6650 0.6650 0.3294  6 S 2.74-2.79
Ho: 0.0000 0.0000 0.5000  6 S 2.72-2.78
Ho: 0.3352 0.3352 0.1653  6 S 2.73-2.78
Ho: 0.6648 0.6648 0.8347  6 S 2.73-2.78
S: 0.1672 0.1672 0.5843  3 Ho 2.78, 3 Dy 2.79
S: 0.1708 0.1708 0.0840  3 Ho 2.73-2.75, 2 Dy 2.76, 1 Ce 2.84
S: 0.4998 0.4998 0.2594  3 Ho 2.72-2.73, 1 Dy 2.74, 2 Ce 2.82
S: 0.5002 0.5002 0.7406  3 Ho 2.72-2.73, 1 Dy 2.74, 2 Ce 2.82
S: 0.8292 0.8292 0.9160  3 Ho 2.73-2.75, 2 Dy 2.76, 1 Ce 2.84
S: 0.8328 0.8328 0.4157  3 Ho 2.78, 3 Dy 2.79

Entry 4:
CeDy3Ho4S8 | PBE | optimized geometry

## Properties
The space group is No. 166.

Unit cell a=7.8187 b=7.8187 c=7.8187 alpha=59.96 beta=59.96 gamma=59.96
Closest atoms and distances in Å follow each position.
Sites, in units of the cell vectors:
Ce: 0.0000 0.0000 0.0000  6 S 2.80
Dy: 0.0000 0.5000 0.5000  6 S 2.77
Dy: 0.5000 0.0000 0.5000  6 S 2.77
Dy: 0.5000 0.5000 0.0000  6 S 2.77
Ho: 0.0000 0.0000 0.5000  6 S 2.76
Ho: 0.0000 0.5000 0.0000  6 S 2.76
Ho: 0.5000 0.0000 0.0000  6 S 2.76
Ho: 0.5000 0.5000 0.5000  6 S 2.72
S: 0.2493 0.2493 0.2493  3 Ho 2.76, 3 Dy 2.77
S: 0.2523 0.7463 0.7463  3 Ho 2.72-2.76, 2 Dy 2.77, 1 Ce 2.80
S: 0.2537 0.2537 0.7477  3 Ho 2.72-2.76, 2 Dy 2.77, 1 Ce 2.80
S: 0.2537 0.7477 0.2537  3 Ho 2.72-2.76, 2 Dy 2.77, 1 Ce 2.80
S: 0.7463 0.2523 0.7463  3 Ho 2.72-2.76, 2 Dy 2.77, 1 Ce 2.80
S: 0.7463 0.7463 0.2523  3 Ho 2.72-2.76, 2 Dy 2.77, 1 Ce 2.80
S: 0.7477 0.2537 0.2537  3 Ho 2.72-2.76, 2 Dy 2.77, 1 Ce 2.80
S: 0.7507 0.7507 0.7507  3 Ho 2.76, 3 Dy 2.77

Entry 5:
CeDy4Ho3S8 | PBE | optimized geometry

## Properties
The space group is No. 166.

Unit cell a=7.8200 b=7.8200 c=7.8200 alpha=60.05 beta=60.05 gamma=60.05
Closest atoms and distances in Å follow each position.
Sites, in units of the cell vectors:
Ce: 0.0000 0.0000 0.0000  6 S 2.80
Dy: 0.0000 0.0000 0.5000  6 S 2.77
Dy: 0.0000 0.5000 0.0000  6 S 2.77
Dy: 0.5000 0.0000 0.0000  6 S 2.77
Dy: 0.5000 0.5000 0.5000  6 S 2.73
Ho: 0.0000 0.5000 0.5000  6 S 2.76
Ho: 0.5000 0.0000 0.5000  6 S 2.76
Ho: 0.5000 0.5000 0.0000  6 S 2.76
S: 0.2507 0.2507 0.2507  3 Ho 2.76, 3 Dy 2.77
S: 0.2530 0.2530 0.7456  3 Dy 2.73-2.77, 2 Ho 2.76, 1 Ce 2.80
S: 0.2530 0.7456 0.2530  3 Dy 2.73-2.77, 2 Ho 2.76, 1 Ce 2.80
S: 0.2544 0.7470 0.7470  3 Dy 2.73-2.77, 2 Ho 2.76, 1 Ce 2.80
S: 0.7456 0.2530 0.2530  3 Dy 2.73-2.77, 2 Ho 2.76, 1 Ce 2.80
S: 0.7470 0.2544 0.7470  3 Dy 2.73-2.77, 2 Ho 2.76, 1 Ce 2.80
S: 0.7470 0.7470 0.2544  3 Dy 2.73-2.77, 2 Ho 2.76, 1 Ce 2.80
S: 0.7493 0.7493 0.7493  3 Ho 2.76, 3 Dy 2.77

Entry 6:
CeDyHo2S4 | PBE | optimized geometry

## Properties
The space group is No. 10.

Unit cell a=6.8013 b=3.9028 c=6.8163 alpha=90.00 beta=109.23 gamma=90.00
Closest atoms and distances in Å follow each position.
Sites, in units of the cell vectors:
Ce: 0.0000 0.0000 0.0000  6 S 2.82
Dy: 0.5000 0.5000 0.0000  6 S 2.78
Ho: 0.0000 0.5000 0.5000  6 S 2.77
Ho: 0.5000 0.0000 0.5000  6 S 2.73
S: 0.2528 0.0000 0.7445  3 Ho 2.73-2.77, 2 Dy 2.78, 1 Ce 2.82
S: 0.2579 0.5000 0.2593  3 Ho 2.73-2.77, 1 Dy 2.78, 2 Ce 2.82
S: 0.7421 0.5000 0.7407  3 Ho 2.73-2.77, 1 Dy 2.78, 2 Ce 2.82
S: 0.7472 0.0000 0.2555  3 Ho 2.73-2.77, 2 Dy 2.78, 1 Ce 2.82

Entry 7:
CeDyHoS3 | PBE | optimized geometry

## Properties
The space group is No. 11.

Unit cell a=7.5183 b=3.9157 c=9.9323 alpha=90.00 beta=101.56 gamma=90.00
Closest atoms and distances in Å follow each position.
Sites, in units of the cell vectors:
Ce: 0.1848 0.2500 0.2083  7 S 2.84-3.16
Ce: 0.8152 0.7500 0.7917  7 S 2.84-3.16
Dy: 0.1842 0.2500 0.6189  5 S 2.70-2.91
Dy: 0.8158 0.7500 0.3811  5 S 2.70-2.91
Ho: 0.3292 0.7500 0.9094  5 S 2.66-2.74
Ho: 0.6708 0.2500 0.0906  5 S 2.66-2.74
S: 0.0860 0.2500 0.8833  2 Ho 2.66, 2 Ce 2.84, 1 Dy 2.87
S: 0.1946 0.7500 0.4330  3 Dy 2.70-2.79, 2 Ce 2.96
S: 0.4727 0.7500 0.1847  3 Ho 2.73-2.74, 1 Dy 2.91, 2 Ce 2.96
S: 0.5273 0.2500 0.8153  3 Ho 2.73-2.74, 1 Dy 2.91, 2 Ce 2.96
S: 0.8054 0.2500 0.5670  3 Dy 2.70-2.79, 2 Ce 2.96
S: 0.9140 0.7500 0.1167  2 Ho 2.66, 2 Ce 2.84, 1 Dy 2.87

Entry 8:
CeDy3Ho2S6 | PBE | optimized geometry

## Properties
The space group is No. 12.

Unit cell a=8.7530 b=8.7530 c=7.8643 alpha=102.86 beta=102.86 gamma=25.80
Closest atoms and distances in Å follow each position.
Sites, in units of the cell vectors:
Ce: 0.0000 0.0000 0.0000  6 S 2.82-2.83
Dy: 0.0000 0.0000 0.5000  6 S 2.73-2.79
Dy: 0.3356 0.3356 0.1651  6 S 2.74-2.80
Dy: 0.6644 0.6644 0.8349  6 S 2.74-2.80
Ho: 0.3350 0.3350 0.6708  6 S 2.73-2.78
Ho: 0.6650 0.6650 0.3292  6 S 2.73-2.78
S: 0.1682 0.1682 0.5821  3 Ho 2.77-2.78, 3 Dy 2.79-2.80
S: 0.1706 0.1706 0.0867  3 Dy 2.74-2.77, 2 Ho 2.75, 1 Ce 2.83
S: 0.4991 0.4991 0.7414  1 Ho 2.73, 3 Dy 2.73-2.75, 2 Ce 2.82
S: 0.5009 0.5009 0.2586  1 Ho 2.73, 3 Dy 2.73-2.75, 2 Ce 2.82
S: 0.8294 0.8294 0.9133  3 Dy 2.74-2.77, 2 Ho 2.75, 1 Ce 2.83
S: 0.8318 0.8318 0.4179  3 Ho 2.77-2.78, 3 Dy 2.79-2.80

Result set for volume: 23.29; 26.12; 21.22; 21.11; 21.16; 21.35; 23.87; 21.27 A^3/atom, one per record in the order listed.
Result set for formation energy from raw total energies: -2.046; -2.022; -1.996; -1.992; -1.993; -2.002; -1.782; -1.998 eV/atom, one per record in the order listed.